[1]
A plane-wave DFT calculation with PBE was carried out for Sn2Sb2As after structural relaxation.

## Properties
Total DFT energy (no corrections)   -19.38 eV/f.u.
Total magnetization   0.0 μB/f.u.
Offset from the most stable computed form   71 meV per atom
Uncorrected formation energy   0.303 eV/atom

Cell lengths 8.080, 8.080, 4.221 Å; angles 90.00, 90.00, 90.00 degrees
Fractional coordinates of all 10 atoms:
Sn 0.170 0.330 0.000
Sn 0.330 0.830 0.000
Sn 0.670 0.170 0.000
Sn 0.830 0.670 0.000
Sb 0.136 0.636 0.500
Sb 0.364 0.136 0.500
Sb 0.636 0.864 0.500
Sb 0.864 0.364 0.500
As 0.000 0.000 0.000
As 0.500 0.500 0.000

=====

[2]
A plane-wave DFT calculation with PBE was carried out for SnSbAs2 after structural relaxation.

## Properties
Total DFT energy (no corrections)   -17.27 eV/f.u.
Total magnetization   0.0 μB/f.u.
Offset from the most stable computed form   59 meV per atom
Uncorrected formation energy   0.040 eV/atom

Cell lengths 8.054, 8.054, 8.054 Å; angles 28.75, 28.75, 28.75 degrees
Fractional coordinates of all 4 atoms:
Sn 0.000 0.000 0.000
Sb 0.176 0.176 0.176
As 0.603 0.603 0.603
As 0.777 0.777 0.777

=====

[3]
A plane-wave DFT calculation with PBE was carried out for SnSb3As after structural relaxation.

## Properties
Total DFT energy (no corrections)   -18.21 eV/f.u.
Total magnetization   0.0 μB/f.u.
Offset from the most stable computed form   511 meV per atom
Uncorrected formation energy   0.562 eV/atom

Cell lengths 5.390, 5.390, 5.390 Å; angles 90.00, 90.00, 90.00 degrees
Fractional coordinates of all 5 atoms:
Sn 0.000 0.000 0.000
Sb 0.000 0.500 0.500
Sb 0.500 0.000 0.500
Sb 0.500 0.500 0.000
As 0.500 0.500 0.500

=====

[4]
A plane-wave DFT calculation with PBE was carried out for SnSb3As after structural relaxation.

## Properties
Total DFT energy (no corrections)   -15.77 eV/f.u.
Total magnetization   0.0 μB/f.u.
Offset from the most stable computed form   999 meV per atom
Uncorrected formation energy   1.050 eV/atom

Cell lengths 5.587, 5.587, 5.587 Å; angles 90.00, 90.00, 90.00 degrees
Fractional coordinates of all 5 atoms:
Sn 0.000 0.000 0.000
Sb 0.000 0.000 0.500
Sb 0.000 0.500 0.000
Sb 0.500 0.000 0.000
As 0.500 0.500 0.500

=====

[5]
A plane-wave DFT calculation with PBE was carried out for Sn2Sb2As after structural relaxation.

## Properties
Total DFT energy (no corrections)   -19.74 eV/f.u.
Total magnetization   0.0 μB/f.u.
Offset from the most stable computed form   0 meV per atom
Uncorrected formation energy   0.232 eV/atom

Cell lengths 8.114, 8.114, 4.253 Å; angles 90.00, 90.00, 90.00 degrees
Fractional coordinates of all 10 atoms:
Sn 0.139 0.361 0.000
Sn 0.361 0.861 0.000
Sn 0.639 0.139 0.000
Sn 0.861 0.639 0.000
Sb 0.173 0.673 0.500
Sb 0.327 0.173 0.500
Sb 0.673 0.827 0.500
Sb 0.827 0.327 0.500
As 0.000 0.000 0.500
As 0.500 0.500 0.500

=====

[6]
A plane-wave DFT calculation with PBE was carried out for Sr2Sn2Sb2As after structural relaxation.

## Properties
Total DFT energy (no corrections)   -27.78 eV/f.u.
Total magnetization   0.0 μB/f.u.
Uncorrected formation energy   -0.502 eV/atom

Cell lengths 4.401, 7.876, 8.433 Å; angles 117.06, 90.10, 106.18 degrees
Fractional coordinates of all 7 atoms:
Sr 0.031 0.063 0.270
Sr 0.969 0.937 0.730
Sn 0.299 0.601 0.208
Sn 0.701 0.399 0.792
Sb 0.361 0.719 0.907
Sb 0.639 0.281 0.093
As 0.500 0.000 0.500

=====

[7]
A plane-wave DFT calculation with PBE was carried out for Sr2SnSbAs after structural relaxation.

## Properties
Total DFT energy (no corrections)   -20.06 eV/f.u.
Total magnetization   0.0 μB/f.u.
Uncorrected formation energy   -0.785 eV/atom

Cell lengths 7.118, 4.541, 11.314 Å; angles 90.00, 106.52, 90.00 degrees
Fractional coordinates of all 10 atoms:
Sr 0.154 0.250 0.377
Sr 0.221 0.750 0.980
Sr 0.779 0.250 0.020
Sr 0.846 0.750 0.623
Sn 0.345 0.250 0.777
Sn 0.655 0.750 0.223
Sb 0.345 0.750 0.614
Sb 0.655 0.250 0.386
As 0.018 0.750 0.183
As 0.982 0.250 0.817

=====

[8]
A plane-wave DFT calculation with PBE was carried out for SnSb2TeAs after structural relaxation.

## Properties
Total DFT energy (no corrections)   -17.50 eV/f.u.
Total magnetization   0.0 μB/f.u.
Offset from the most stable computed form   0 meV per atom
Uncorrected formation energy   0.507 eV/atom

Cell lengths 5.335, 5.335, 5.573 Å; angles 90.00, 90.00, 90.00 degrees
Fractional coordinates of all 5 atoms:
Sn 0.000 0.000 0.000
Sb 0.000 0.500 0.500
Sb 0.500 0.000 0.500
Te 0.500 0.500 0.000
As 0.500 0.500 0.500

=====

Number 1: calculated volume 275.52 Å³ per cell. Number 2: calculated volume 106.84 Å³ per cell. Number 3: calculated volume 156.58 Å³ per cell. Number 4: calculated volume 174.38 Å³ per cell. Number 5: calculated volume 280.01 Å³ per cell. Number 6: calculated volume 247.10 Å³ per cell. Number 7: calculated volume 350.55 Å³ per cell. Number 8: calculated volume 158.65 Å³ per cell.